An optimized crystal structure of YGaO2F. Source: the Alexandria database, functional GGA-PBE.

Computed properties:
The uncorrected energy comes out at -6.352 eV/atom.

Cell and atoms, written as CIF:
```
data_YGaO2F
_space_group_name_H-M_alt 'P 1'
_space_group_IT_number 1
_cell_length_a 3.932
_cell_length_b 3.932
_cell_length_c 3.993
_cell_angle_alpha 90.00
_cell_angle_beta 90.00
_cell_angle_gamma 90.00
loop_
_space_group_symop_operation_xyz
'x,y,z'
loop_
_atom_site_label
_atom_site_fract_x
_atom_site_fract_y
_atom_site_fract_z
Ga1 0.000 0.000 0.000
F1 0.000 0.000 0.500
O1 0.500 0.000 0.000
O2 0.000 0.500 0.000
Y1 0.500 0.500 0.500
```